Li2VCl4 | the Alexandria database | GGA-PBEsol | relaxed; crystal system = orthorhombic; formation energy from raw total energies = -1.50 eV/atom; total energy = -64.259 eV per cell; total moment = 6.00 Bohr magnetons per cell
1.0
-3.591 3.657 5.140
3.591 -3.657 5.140
3.591 3.657 -5.140
Li V Cl
4 2 8
Direct
0.000 0.000 0.500
0.000 0.500 0.000
0.391 0.141 0.250
0.609 0.859 0.750
0.000 0.500 0.500
0.500 0.500 0.000
0.221 0.737 0.484
0.248 0.263 0.984
0.250 0.270 0.520
0.250 0.730 0.980
0.750 0.270 0.020
0.750 0.730 0.480
0.752 0.737 0.016
0.779 0.263 0.516


LiWCl2 | the Alexandria database | GGA-PBEsol | relaxed; crystal system = trigonal; formation energy from raw total energies = -0.49 eV/atom; total energy = -21.732 eV per cell; total moment = 0.00 Bohr magnetons per cell
1.0
1.517 0.876 7.794
-1.517 0.876 7.794
0.000 -1.752 7.794
Li W Cl
1 1 2
Direct
0.000 0.000 0.000
0.500 0.500 0.500
0.400 0.400 0.400
0.600 0.600 0.600


LiWCl | the Alexandria database | GGA-PBEsol | relaxed; crystal system = cubic; formation energy from raw total energies = 1.55 eV/atom; total energy = -13.124 eV per cell; total moment = 0.00 Bohr magnetons per cell
1.0
0.000 2.858 2.858
2.858 0.000 2.858
2.858 2.858 0.000
Li W Cl
1 1 1
Direct
0.000 0.000 0.000
0.250 0.250 0.250
0.500 0.500 0.500


Li3WCl | the Alexandria database | GGA-PBEsol | relaxed; crystal system = cubic; formation energy from raw total energies = 1.23 eV/atom; total energy = -15.553 eV per cell; total moment = 4.73 Bohr magnetons per cell
1.0
5.176 0.000 0.000
0.000 5.176 0.000
0.000 0.000 5.176
Li W Cl
3 1 1
Direct
0.000 0.000 0.500
0.000 0.500 0.000
0.500 0.000 0.000
0.000 0.000 0.000
0.500 0.500 0.500


LiWCl2 | the Alexandria database | GGA-PBEsol | relaxed; crystal system = monoclinic; formation energy from raw total energies = -0.09 eV/atom; total energy = -20.155 eV per cell; total moment = 0.00 Bohr magnetons per cell
1.0
3.806 -1.499 0.000
3.806 1.499 0.000
-0.877 0.000 5.419
Li W Cl
1 1 2
Direct
0.000 0.000 0.000
0.500 0.500 0.500
0.233 0.233 0.724
0.767 0.767 0.276


Li2WCl | the Alexandria database | GGA-PBEsol | relaxed; crystal system = orthorhombic; formation energy from raw total energies = 0.15 eV/atom; total energy = -19.148 eV per cell; total moment = 0.00 Bohr magnetons per cell
1.0
-1.398 1.404 8.353
1.398 -1.404 8.353
1.398 1.404 -8.353
Li W Cl
2 1 1
Direct
0.000 0.000 0.000
0.667 0.167 0.500
0.375 0.375 0.000
0.246 0.746 0.500


- The highest total moment belongs to which entry?
  Li2VCl4


- The highest total energy belongs to which entry?
  LiWCl


- Which of these has the highest formation energy from raw total energies?
  LiWCl


- Which of these has the highest formation energy from raw total energies?
  LiWCl